Compound: Cd2HgAs
Source: Alexandria
Functional: PBE
Structure: optimized geometry

```
data_Cd2HgAs
_chemical_formula_sum 'Cd4 Hg2 As2'
_cell_length_a 8.376
_cell_length_b 7.160
_cell_length_c 3.111
_cell_angle_alpha 90.00
_cell_angle_beta 100.39
_cell_angle_gamma 90.00
_symmetry_space_group_name_H-M 'C 1 2/m 1'
_symmetry_Int_Tables_number 12
_symmetry_space_group_name_Hall '-C 2y'
loop_
_atom_site_label
_atom_site_fract_x
_atom_site_fract_y
_atom_site_fract_z
Cd1 0.250 0.250 0.000
Hg1 0.000 0.000 0.500
As1 0.000 0.500 0.500
```

Properties
DFT formation energy = 0.103 eV per atom
DOS at the Fermi energy = 3.48 states/eV/cell
Electronic total energy = -1.593 eV/atom
Excess energy over the best structure of this formula in the dataset = 0.088 eV per atom